DFT (PBE) results for HfAlBi2Br after structural relaxation.

Cell lengths 5.839, 4.863, 5.839 Å; angles 90.00, 90.00, 90.00 degrees
Fractional positions:
Hf 0.000 0.500 0.000
Bi 0.000 0.000 0.500
Bi 0.500 0.000 0.000
Br 0.000 0.000 0.000
Al 0.500 0.500 0.500

Calculated values
- Symmetry: No. 123
- E_form (uncorrected): 4.78 eV/f.u.